Record 1
Material: Li3Ca2N2
Method: DFT, PBE
State: optimized geometry

Cell and atoms, written as POSCAR:
```
Li3Ca2N2
1.0
4.978 -1.755 0.000
4.978 1.755 0.000
-2.323 0.000 5.622
Li Ca N
3 2 2
Direct
0.000 0.000 0.000
0.165 0.165 0.412
0.835 0.835 0.588
0.355 0.355 0.208
0.645 0.645 0.792
0.315 0.315 0.785
0.685 0.685 0.215
```

Computed properties:
- electronic total energy (eV/atom) = -4.077
- spin magnetization (μB per formula unit) = 0.8
- formation energy from raw total energies (eV per formula unit) = -2.14



Record 2
Material: TbPbI
Method: DFT, PBE
State: optimized geometry

Cell and atoms, written as POSCAR:
```
TbPbI
1.0
8.501 -1.947 0.000
8.501 1.947 0.000
-0.708 0.000 6.394
Tb Pb I
2 2 2
Direct
0.120 0.120 0.457
0.880 0.880 0.543
0.468 0.468 0.238
0.532 0.532 0.762
0.277 0.277 0.769
0.723 0.723 0.231
```

Computed properties:
- electronic total energy (eV/atom) = -3.941
- spin magnetization (μB per formula unit) = 0.0
- formation energy from raw total energies (eV per formula unit) = -1.93



Record 3
Material: FeBiH2
Method: DFT, PBE
State: optimized geometry

Cell and atoms, written as POSCAR:
```
FeBiH2
1.0
-2.302 2.302 4.624
2.302 -2.302 4.624
2.302 2.302 -4.624
Fe Bi H
2 2 4
Direct
0.375 0.625 0.750
0.625 0.375 0.250
0.125 0.875 0.250
0.875 0.125 0.750
0.000 0.500 0.500
0.500 0.000 0.000
0.500 0.500 0.000
0.500 0.500 0.500
```

Computed properties:
- electronic total energy (eV/atom) = -4.356
- spin magnetization (μB per formula unit) = 1.8



Record 4
Material: LaTh3Sc
Method: DFT, PBE
State: optimized geometry

Cell and atoms, written as POSCAR:
```
LaTh3Sc
1.0
4.791 2.766 3.968
-4.791 2.766 3.968
0.000 -5.532 3.968
La Th Sc
2 6 2
Direct
0.000 0.000 0.000
0.500 0.500 0.500
0.079 0.750 0.421
0.250 0.579 0.921
0.421 0.079 0.750
0.579 0.921 0.250
0.750 0.421 0.079
0.921 0.250 0.579
0.250 0.250 0.250
0.750 0.750 0.750
```

Computed properties:
- electronic total energy (eV/atom) = -6.385
- spin magnetization (μB per formula unit) = 0.0